## CsCoN2O (GGA+U)

Data for CsCoN2O after structural relaxation.

Cell: 4.421 4.421 4.370 Å, 90.00 90.00 90.00°
Site moments in Bohr magnetons follow the coordinates.
Element x y z (fractional)
Cs1 0.000 0.000 0.000  0.02
N1 0.000 0.500 0.000  0.40
Co1 0.500 0.500 0.500  2.35
O1 0.000 0.000 0.500  0.15
N2 0.500 0.000 0.000  0.40

Values from the calculation:
Density = 4.59 g/cm3
Total DFT energy (no corrections) = -2.92 eV per atom